[1]
Compound: CePu2Tl3Se6
Source: Alexandria
Functional: GGA-PBE
Structure: relaxed

Cell lengths 7.413, 7.413, 8.100 Å; angles 98.77, 98.77, 120.00 degrees
Last column: magnetic moment on the atom in μB.
Fractional positions:
Tl: 0.833 0.167 0.500  0.00
Se: 0.404 0.068 0.204  -0.07
Ce: 0.000 0.000 0.000  0.79
Se: 0.596 0.932 0.796  -0.07
Se: 0.733 0.733 0.204  -0.07
Se: 0.068 0.404 0.204  -0.07
Tl: 0.167 0.833 0.500  0.00
Tl: 0.500 0.500 0.500  0.00
Se: 0.267 0.267 0.796  -0.07
Se: 0.932 0.596 0.796  -0.07
Pu: 0.333 0.667 0.000  5.17
Pu: 0.667 0.333 0.000  5.17

## Properties
SG   No. 12
Crystal system   monoclinic



[2]
Compound: Ce3PuTl4Se8
Source: Alexandria
Functional: GGA-PBE
Structure: relaxed

Cell lengths 8.641, 9.192, 8.641 Å; angles 118.05, 120.00, 90.00 degrees
Last column: magnetic moment on the atom in μB.
Fractional positions:
Se: 0.765 0.294 0.029  -0.04
Se: 0.765 0.293 0.529  -0.04
Ce: 0.500 0.500 0.500  0.87
Ce: 0.000 0.500 0.500  0.87
Pu: 0.000 0.500 0.000  5.26
Se: 0.264 0.291 0.527  -0.02
Tl: 0.500 0.000 0.500  0.00
Se: 0.235 0.706 0.971  -0.04
Tl: 0.000 0.000 0.500  0.00
Se: 0.264 0.294 0.029  -0.04
Tl: 0.500 0.000 0.000  -0.01
Se: 0.235 0.707 0.471  -0.04
Ce: 0.500 0.500 0.000  0.87
Se: 0.736 0.706 0.971  -0.04
Se: 0.736 0.709 0.473  -0.02
Tl: 0.000 0.000 0.000  0.00

## Properties
SG   No. 166
Crystal system   trigonal



[3]
Compound: CePuTl2Se4
Source: Alexandria
Functional: GGA-PBE
Structure: relaxed

Cell lengths 4.305, 7.458, 8.100 Å; angles 107.96, 90.00, 90.00 degrees
Last column: magnetic moment on the atom in μB.
Fractional positions:
Se: 0.500 0.766 0.796  0.06
Tl: 0.000 0.500 0.500  0.01
Se: 0.000 0.736 0.207  0.01
Pu: 0.000 0.000 0.000  -5.22
Se: 0.500 0.234 0.204  0.06
Tl: 0.500 0.000 0.500  -0.01
Ce: 0.500 0.500 0.000  0.52
Se: 0.000 0.264 0.793  0.01

## Properties
SG   No. 10
Crystal system   monoclinic



[4]
Compound: Ce2TmPuSe4
Source: Alexandria
Functional: GGA-PBE
Structure: relaxed

Cell lengths 4.117, 7.168, 7.213 Å; angles 109.11, 90.00, 90.00 degrees
Last column: magnetic moment on the atom in μB.
Fractional positions:
Se: 0.000 0.248 0.760  -0.04
Ce: 0.000 0.500 0.500  0.91
Ce: 0.500 0.000 0.500  0.83
Se: 0.500 0.760 0.763  -0.02
Se: 0.500 0.240 0.237  -0.02
Pu: 0.500 0.500 0.000  5.40
Tm: 0.000 0.000 0.000  0.03
Se: 0.000 0.752 0.240  -0.04

## Properties
SG   No. 10
Crystal system   monoclinic



[5]
Compound: Ce3Tm3PuSe8
Source: Alexandria
Functional: GGA-PBE
Structure: relaxed

Cell lengths 8.176, 8.174, 8.261 Å; angles 119.64, 90.00, 120.01 degrees
Last column: magnetic moment on the atom in μB.
Fractional positions:
Ce: 0.000 0.500 0.000  0.99
Se: 0.265 0.011 0.257  -0.03
Se: 0.746 0.492 0.258  -0.03
Tm: 0.500 0.500 0.500  0.04
Se: 0.746 0.011 0.257  -0.03
Se: 0.254 0.508 0.742  -0.03
Se: 0.735 0.989 0.743  -0.03
Pu: 0.000 0.000 0.500  5.40
Tm: 0.500 0.000 0.500  0.04
Se: 0.745 0.489 0.734  -0.01
Se: 0.254 0.989 0.743  -0.03
Tm: 0.000 0.500 0.500  0.04
Ce: 0.500 0.500 0.000  0.99
Ce: 0.000 0.000 0.000  0.99
Se: 0.255 0.511 0.266  -0.01

## Properties
SG   No. 166
Crystal system   trigonal



[6]
Compound: Ce4Tm3PuSe8
Source: Alexandria
Functional: GGA-PBE
Structure: relaxed

Cell lengths 8.223, 8.271, 8.225 Å; angles 119.82, 119.99, 90.00 degrees
Last column: magnetic moment on the atom in μB.
Fractional positions:
Ce: 0.000 0.000 0.500  0.80
Pu: 0.000 0.500 0.000  5.37
Se: 0.744 0.733 0.489  -0.01
Se: 0.741 0.737 0.989  -0.02
Tm: 0.500 0.500 0.000  0.00
Ce: 0.500 0.000 0.500  0.80
Se: 0.248 0.737 0.989  -0.02
Se: 0.256 0.267 0.511  -0.01
Se: 0.752 0.263 0.504  -0.02
Se: 0.248 0.737 0.496  -0.02
Ce: 0.500 0.000 0.000  -0.63
Se: 0.752 0.263 0.011  -0.02
Se: 0.259 0.263 0.011  -0.02
Tm: 0.000 0.500 0.500  0.00
Ce: 0.000 0.000 0.000  0.80
Tm: 0.500 0.500 0.500  0.00

## Properties
SG   No. 166
Crystal system   trigonal



[7]
Compound: CeTm2PuSe4
Source: Alexandria
Functional: GGA-PBE
Structure: relaxed

Cell lengths 4.053, 7.024, 7.221 Å; angles 108.88, 90.00, 90.00 degrees
Last column: magnetic moment on the atom in μB.
Fractional positions:
Ce: 0.000 0.000 0.000  0.92
Se: 0.500 0.257 0.266  -0.01
Se: 0.000 0.248 0.737  -0.03
Se: 0.500 0.743 0.734  -0.01
Tm: 0.000 0.500 0.500  0.02
Se: 0.000 0.752 0.263  -0.03
Pu: 0.500 0.500 0.000  5.52
Tm: 0.500 0.000 0.500  -0.04

## Properties
SG   No. 10
Crystal system   monoclinic



[8]
Compound: CeTm3Pu2Se6
Source: Alexandria
Functional: GGA-PBE
Structure: relaxed

Cell lengths 4.056, 8.258, 9.197 Å; angles 104.28, 102.74, 90.00 degrees
Last column: magnetic moment on the atom in μB.
Fractional positions:
Se: 0.003 0.740 0.006  -0.01
Ce: 0.500 0.000 0.000  0.91
Se: 0.665 0.588 0.329  -0.04
Tm: 0.167 0.833 0.334  0.00
Se: 0.671 0.077 0.341  -0.03
Tm: 0.833 0.167 0.666  0.00
Se: 0.997 0.260 0.994  -0.01
Pu: 0.166 0.331 0.332  5.51
Se: 0.335 0.412 0.671  -0.04
Tm: 0.500 0.500 0.000  0.02
Se: 0.329 0.923 0.659  -0.03
Pu: 0.834 0.669 0.668  5.51

## Properties
SG   No. 12
Crystal system   monoclinic



[9]
Compound: Ce2TmPu3Se6
Source: Alexandria
Functional: GGA-PBE
Structure: relaxed

Cell lengths 4.128, 8.297, 9.247 Å; angles 102.47, 102.90, 90.00 degrees
Last column: magnetic moment on the atom in μB.
Fractional positions:
Ce: 0.834 0.664 0.668  -0.70
Pu: 0.500 0.500 0.000  5.42
Se: 0.663 0.079 0.327  0.06
Se: 0.998 0.241 0.996  -0.01
Pu: 0.831 0.166 0.663  -5.39
Tm: 0.500 0.000 0.000  -0.01
Pu: 0.169 0.834 0.337  -5.39
Ce: 0.166 0.336 0.332  -0.70
Se: 0.334 0.411 0.668  0.03
Se: 0.666 0.589 0.332  0.03
Se: 0.337 0.921 0.673  0.06
Se: 0.002 0.759 0.004  -0.01

## Properties
SG   No. 12
Crystal system   monoclinic



[10]
Compound: CePuU2Se4
Source: Alexandria
Functional: GGA-PBE
Structure: relaxed

Cell lengths 4.055, 7.205, 7.141 Å; angles 108.86, 90.00, 90.00 degrees
Last column: magnetic moment on the atom in μB.
Fractional positions:
Se: 0.500 0.746 0.745  0.00
Se: 0.000 0.252 0.748  0.04
U: 0.500 0.000 0.500  -2.35
Se: 0.000 0.748 0.252  0.04
Pu: 0.500 0.500 0.000  -5.34
Ce: 0.000 0.000 0.000  -0.39
Se: 0.500 0.254 0.255  0.00
U: 0.000 0.500 0.500  2.43

## Properties
SG   No. 10
Crystal system   monoclinic



[11]
Compound: Ce2Pu3USe6
Source: Alexandria
Functional: GGA-PBE
Structure: relaxed

Cell lengths 4.122, 8.381, 9.333 Å; angles 104.06, 102.76, 90.00 degrees
Last column: magnetic moment on the atom in μB.
Fractional positions:
Se: 0.334 0.415 0.668  -0.06
Pu: 0.169 0.832 0.337  5.42
Se: 0.666 0.585 0.332  -0.06
Se: 0.996 0.247 0.993  -0.07
Pu: 0.500 0.500 0.000  5.44
Pu: 0.831 0.168 0.663  5.42
Ce: 0.165 0.330 0.330  0.92
Se: 0.665 0.075 0.331  -0.07
Se: 0.335 0.925 0.669  -0.07
Ce: 0.835 0.670 0.670  0.92
U: 0.500 0.000 0.000  2.70
Se: 0.004 0.753 0.007  -0.07

## Properties
SG   No. 12
Crystal system   monoclinic



[12]
Compound: Ce2YPuSe4
Source: Alexandria
Functional: GGA-PBE
Structure: relaxed

Cell lengths 4.142, 7.197, 7.237 Å; angles 109.21, 90.00, 90.00 degrees
Last column: magnetic moment on the atom in μB.
Fractional positions:
Ce: 0.000 0.500 0.500  0.89
Y: 0.000 0.000 0.000  0.02
Se: 0.000 0.749 0.242  -0.04
Ce: 0.500 0.000 0.500  0.85
Se: 0.500 0.755 0.759  -0.02
Se: 0.000 0.251 0.758  -0.04
Se: 0.500 0.245 0.241  -0.02
Pu: 0.500 0.500 0.000  5.41

## Properties
SG   No. 10
Crystal system   monoclinic



[13]
Compound: Ce3YPu2Se6
Source: Alexandria
Functional: GGA-PBE
Structure: relaxed

Cell lengths 7.201, 7.201, 7.246 Å; angles 99.53, 99.53, 120.04 degrees
Last column: magnetic moment on the atom in μB.
Fractional positions:
Se: 0.750 0.750 0.244  -0.04
Ce: 0.500 0.500 0.500  0.88
Se: 0.920 0.588 0.758  -0.04
Se: 0.080 0.412 0.242  -0.04
Se: 0.588 0.920 0.758  -0.04
Ce: 0.168 0.832 0.500  0.88
Pu: 0.666 0.334 0.000  5.42
Se: 0.250 0.250 0.756  -0.04
Y: 0.000 0.000 0.000  0.03
Pu: 0.334 0.666 0.000  5.42
Se: 0.412 0.080 0.242  -0.04
Ce: 0.832 0.168 0.500  0.88

## Properties
SG   No. 12
Crystal system   monoclinic



[14]
Compound: Ce2YPu3Se6
Source: Alexandria
Functional: GGA-PBE
Structure: relaxed

Cell lengths 4.130, 8.349, 9.303 Å; angles 103.54, 102.82, 90.00 degrees
Last column: magnetic moment on the atom in μB.
Fractional positions:
Se: 0.998 0.246 0.997  -0.04
Ce: 0.833 0.665 0.666  -0.52
Pu: 0.500 0.500 0.000  5.44
Pu: 0.832 0.166 0.665  5.40
Se: 0.335 0.921 0.670  -0.04
Se: 0.002 0.754 0.003  -0.04
Ce: 0.167 0.335 0.334  -0.52
Se: 0.665 0.079 0.330  -0.04
Y: 0.500 0.000 0.000  0.00
Pu: 0.168 0.834 0.335  5.40
Se: 0.335 0.413 0.670  -0.04
Se: 0.665 0.587 0.330  -0.04

## Properties
SG   No. 12
Crystal system   monoclinic



[15]
Compound: CeY2PuSe4
Source: Alexandria
Functional: GGA-PBE
Structure: relaxed

Cell lengths 4.105, 7.118, 7.229 Å; angles 109.11, 90.00, 90.00 degrees
Last column: magnetic moment on the atom in μB.
Fractional positions:
Se: 0.500 0.255 0.259  -0.02
Y: 0.500 0.000 0.500  -0.02
Se: 0.000 0.750 0.257  -0.03
Y: 0.000 0.500 0.500  0.02
Ce: 0.000 0.000 0.000  0.90
Se: 0.500 0.745 0.741  -0.02
Pu: 0.500 0.500 0.000  5.50
Se: 0.000 0.250 0.743  -0.03

## Properties
SG   No. 10
Crystal system   monoclinic



[16]
Compound: CePuSi
Source: Alexandria
Functional: GGA-PBE
Structure: relaxed

Cell lengths 4.874, 4.874, 4.874 Å; angles 60.00, 60.00, 60.00 degrees
Last column: magnetic moment on the atom in μB.
Fractional positions:
Si: 0.250 0.250 0.250  -0.09
Ce: 0.000 0.000 0.000  1.04
Pu: 0.500 0.500 0.500  5.57

## Properties
SG   No. 216
ΔE to the lowest computed polymorph   0.28 eV/f.u.
Crystal system   cubic



[17]
Compound: CePuSi3
Source: Alexandria
Functional: GGA-PBE
Structure: relaxed

Cell lengths 4.189, 3.965, 12.538 Å; angles 90.00, 99.62, 90.00 degrees
Last column: magnetic moment on the atom in μB.
Fractional positions:
Si: 0.475 0.250 0.951  0.00
Si: 0.673 0.250 0.346  -0.05
Pu: 0.795 0.250 0.590  5.33
Ce: 0.070 0.250 0.141  -0.34
Ce: 0.930 0.750 0.859  -0.34
Si: 0.381 0.250 0.762  -0.01
Si: 0.327 0.750 0.654  -0.05
Si: 0.525 0.750 0.049  0.00
Si: 0.619 0.750 0.238  -0.01
Pu: 0.205 0.750 0.410  5.33

## Properties
SG   No. 63
ΔE to the lowest computed polymorph   0.00 eV/f.u.
Crystal system   orthorhombic



[18]
Compound: Ce4PuSi2
Source: Alexandria
Functional: GGA-PBE
Structure: relaxed

Cell lengths 5.455, 5.455, 6.995 Å; angles 112.95, 112.95, 90.00 degrees
Last column: magnetic moment on the atom in μB.
Fractional positions:
Ce: 0.750 0.250 0.500  -0.27
Ce: 0.250 0.750 0.500  -0.27
Si: 0.377 0.377 0.754  0.03
Ce: 0.000 0.500 0.000  0.82
Ce: 0.500 0.000 0.000  0.82
Pu: 0.000 0.000 0.000  5.76
Si: 0.623 0.623 0.246  0.03

## Properties
SG   No. 139
ΔE to the lowest computed polymorph   1.94 eV/f.u.
Crystal system   tetragonal



[19]
Compound: Ce3PuSi3
Source: Alexandria
Functional: GGA-PBE
Structure: relaxed

Cell lengths 6.063, 6.063, 9.396 Å; angles 90.68, 90.68, 109.46 degrees
Last column: magnetic moment on the atom in μB.
Fractional positions:
Ce: 0.200 0.800 0.000  0.29
Ce: 0.177 0.823 0.500  0.56
Si: 0.973 0.973 0.759  -0.01
Pu: 0.360 0.360 0.063  3.25
Ce: 0.417 0.417 0.710  0.22
Ce: 0.823 0.177 0.500  0.56
Si: 0.027 0.027 0.241  -0.01
Ce: 0.583 0.583 0.290  0.22
Si: 0.946 0.528 0.742  -0.02
Si: 0.528 0.946 0.742  -0.02
Ce: 0.800 0.200 0.000  0.29
Si: 0.472 0.054 0.258  -0.02
Pu: 0.640 0.640 0.937  3.25
Si: 0.054 0.472 0.258  -0.02

## Properties
SG   No. 12
Crystal system   monoclinic



[20]
Compound: CePu2Si4
Source: Alexandria
Functional: GGA-PBE
Structure: relaxed

Cell lengths 3.910, 4.223, 9.332 Å; angles 103.08, 102.09, 90.00 degrees
Last column: magnetic moment on the atom in μB.
Fractional positions:
Pu: 0.813 0.813 0.626  5.33
Si: 0.066 0.566 0.132  0.00
Si: 0.357 0.357 0.715  -0.04
Ce: 0.500 0.000 0.000  -0.32
Si: 0.643 0.643 0.285  -0.04
Si: 0.934 0.434 0.868  0.00
Pu: 0.187 0.187 0.374  5.33

## Properties
SG   No. 71
Crystal system   orthorhombic



[21]
Compound: CePuSi2
Source: Alexandria
Functional: GGA-PBE
Structure: relaxed

Cell lengths 4.308, 3.839, 5.835 Å; angles 90.00, 111.65, 90.00 degrees
Last column: magnetic moment on the atom in μB.
Fractional positions:
Ce: 0.730 0.000 0.999  0.87
Si: 0.014 0.000 0.567  -0.04
Si: 0.150 0.500 0.840  -0.02
Pu: 0.436 0.500 0.411  5.39

## Properties
SG   No. 38
ΔE to the lowest computed polymorph   0.00 eV/f.u.
Crystal system   orthorhombic



[22]
Compound: CePuSi2
Source: Alexandria
Functional: GGA-PBE
Structure: relaxed

Cell lengths 4.118, 4.495, 4.495 Å; angles 90.00, 90.00, 90.00 degrees
Last column: magnetic moment on the atom in μB.
Fractional positions:
Ce: 0.500 0.000 0.000  0.36
Si: 0.000 0.000 0.500  -0.06
Si: 0.000 0.500 0.000  -0.06
Pu: 0.500 0.500 0.500  5.22

## Properties
SG   No. 123
ΔE to the lowest computed polymorph   0.60 eV/f.u.
Crystal system   tetragonal



[23]
Compound: CePuSi4
Source: Alexandria
Functional: GGA-PBE
Structure: relaxed

Cell lengths 5.294, 5.294, 5.294 Å; angles 60.00, 60.00, 60.00 degrees
Last column: magnetic moment on the atom in μB.
Fractional positions:
Si: 0.121 0.626 0.626  -0.03
Si: 0.626 0.626 0.121  -0.03
Pu: 0.000 0.000 0.000  5.26
Ce: 0.250 0.250 0.250  0.23
Si: 0.626 0.626 0.626  -0.03
Si: 0.626 0.121 0.626  -0.03

## Properties
SG   No. 216
ΔE to the lowest computed polymorph   0.80 eV/f.u.
Crystal system   cubic



Sequential electronic total energy output: -6.403, -5.615, -6.079, -7.295, -6.669, -6.700, -7.091, -7.421, -8.344, -8.398, -8.785, -7.570, -7.875, -8.526, -7.636, -8.740, -7.892, -7.061, -7.247, -8.592, -8.347, -8.197, -7.424 eV per atom